Record 1
Entry from Alexandria: an optimized crystal structure of Ce12InPb3 (PBE).

The volume comes out at 28.09 Å³ per atom. As for the symmetry: P4/mmm. The formation enthalpy at 0 K comes out at -0.25 eV/atom. As for the total DFT energy (no corrections): -5.567 eV/atom.

The structure in POSCAR format:
```
Ce12InPb3
1.0
4.8280 0.0000 0.0000
0.0000 4.8280 0.0000
0.0000 0.0000 19.2823
Ce Pb In
12 3 1
direct
0.0000 0.5000 0.6253 Ce
0.5000 0.0000 0.3747 Ce
0.5000 0.0000 0.6253 Ce
0.5000 0.0000 0.1239 Ce
0.0000 0.5000 0.8761 Ce
0.5000 0.5000 0.5000 Ce
0.5000 0.5000 0.0000 Ce
0.0000 0.5000 0.1239 Ce
0.5000 0.0000 0.8761 Ce
0.0000 0.5000 0.3747 Ce
0.5000 0.5000 0.2483 Ce
0.5000 0.5000 0.7517 Ce
0.0000 0.0000 0.7506 Pb
0.0000 0.0000 0.5000 Pb
0.0000 0.0000 0.2494 Pb
0.0000 0.0000 0.0000 In
```

Record 2
Entry from Alexandria: an optimized crystal structure of Ce2InPb5 (PBE).

The volume comes out at 28.80 Å³ per atom. As for the symmetry: Pbam. The formation enthalpy at 0 K comes out at -0.37 eV/atom. As for the total DFT energy (no corrections): -4.511 eV/atom.

The structure in POSCAR format:
```
Ce2InPb5
1.0
-4.3639 -2.2475 -0.2348
1.5621 -3.6179 5.5965
-5.4683 9.7965 7.8594
Pb Ce In
10 4 2
direct
0.5000 0.7399 0.8783 Pb
0.0000 0.5000 0.5000 Pb
0.5000 0.7601 0.3783 Pb
0.0000 0.4918 0.7526 Pb
0.5000 0.2601 0.1217 Pb
0.5000 0.2399 0.6217 Pb
0.0000 0.0082 0.2526 Pb
0.0000 0.0000 0.0000 Pb
0.0000 0.5082 0.2474 Pb
0.0000 0.9918 0.7474 Pb
0.5000 0.2590 0.3731 Ce
0.5000 0.7410 0.6269 Ce
0.5000 0.7590 0.1269 Ce
0.5000 0.2410 0.8731 Ce
0.0000 0.5000 0.0000 In
0.0000 0.0000 0.5000 In
```